# 1
PrCoCu after structural relaxation, computed with PBE-GGA.

Cell lengths 4.1512, 4.1512, 3.9308 Å; angles 90.00, 90.00, 120.00 degrees
Positions (direct):
Pr 0.0000 0.0000 0.0000
Co 0.3333 0.6667 0.5000
Cu 0.6667 0.3333 0.5000

Results
Symmetry   No. 187



# 2
TaGaGe3 after structural relaxation, computed with PBE-GGA.

Cell lengths 4.7616, 4.7616, 4.7616 Å; angles 90.00, 90.00, 90.00 degrees
Positions (direct):
Ta 0.0000 0.0000 0.0000
Ga 0.5000 0.5000 0.5000
Ge 0.0000 0.5000 0.5000
Ge 0.5000 0.0000 0.5000
Ge 0.5000 0.5000 0.0000

Results
Symmetry   No. 221



| no. | DFT formation energy (eV per atom) |
| --- | --- |
| 1 | -0.019 |
| 2 | 1.218 |